PuPaTe2Se | Alexandria via LeMat-Bulk | PBE-GGA | optimized geometry; DFT total energy = -38.65 eV per formula unit; symmetry = P4/nmm, No. 129; formation energy without anion corrections = -1011 meV/atom; spin magnetization = 4.99 μB per formula unit
1.0
4.412 0.000 0.000
0.000 4.412 0.000
0.000 0.000 14.811
Pu Pa Te Se
2 2 4 2
Cartesian
1.103 1.103 1.345
3.309 3.309 13.466
1.103 1.103 9.328
3.309 3.309 5.483
1.103 1.103 4.468
1.103 1.103 12.976
3.309 3.309 1.835
3.309 3.309 10.343
1.103 3.309 7.405
3.309 1.103 7.405